This record from Alexandria describes an optimized crystal structure of ThSb3Se6. The functional is PBE.

```
ThSb3Se6
1.0
12.096 0.000 0.000
0.000 4.306 0.000
-3.822 0.000 12.540
Th Sb Se
2 6 12
direct
0.092 0.250 0.361 Th
0.908 0.750 0.639 Th
0.064 0.250 0.946 Sb
0.258 0.750 0.687 Sb
0.460 0.750 0.385 Sb
0.540 0.250 0.615 Sb
0.742 0.250 0.313 Sb
0.936 0.750 0.054 Sb
0.075 0.250 0.599 Se
0.128 0.750 0.210 Se
0.133 0.750 0.849 Se
0.258 0.750 0.479 Se
0.339 0.250 0.288 Se
0.415 0.250 0.758 Se
0.585 0.750 0.242 Se
0.661 0.750 0.712 Se
0.742 0.250 0.521 Se
0.867 0.250 0.151 Se
0.872 0.250 0.790 Se
0.925 0.750 0.401 Se
```

energy relative to the elements, uncorrected	-0.615	eV/atom
D(E_F)	0.225	states/eV/atom